Compound: CeHf3As4
Source: the Alexandria database
Functional: PBE
Structure: optimized geometry Values from VASP.

Quantum ESPRESSO input file:
```
&SYSTEM
  ibrav = 0, nat = 16, ntyp = 3
/
ATOMIC_SPECIES
Ce 140.12 Ce.upf
Hf 178.49 Hf.upf
As 74.92 As.upf
CELL_PARAMETERS angstrom
3.887 0.000 0.000
-1.944 3.367 0.000
0.000 0.000 26.077
ATOMIC_POSITIONS angstrom
Ce 0.000 2.244 6.519
Ce 1.944 1.122 19.558
Hf 0.000 0.000 0.000
Hf 0.000 0.000 13.038
Hf 0.000 2.244 16.137
Hf 0.000 2.244 22.978
Hf 1.944 1.122 3.099
Hf 1.944 1.122 9.939
As 0.000 0.000 4.613
As 0.000 0.000 8.426
As 0.000 0.000 17.651
As 0.000 0.000 21.464
As 0.000 2.244 1.535
As 0.000 2.244 11.504
As 1.944 1.122 14.573
As 1.944 1.122 24.542
```


Compound: CeHfAs2
Source: the Alexandria database
Functional: PBE
Structure: optimized geometry Values from VASP.

Relative energy among the computed polymorphs ... 95 meV/atom

Quantum ESPRESSO input file:
```
&SYSTEM
  ibrav = 0, nat = 4, ntyp = 3
/
ATOMIC_SPECIES
Ce 140.12 Ce.upf
Hf 178.49 Hf.upf
As 74.92 As.upf
CELL_PARAMETERS angstrom
1.952 1.127 7.017
-1.952 1.127 7.017
0.000 -2.254 7.017
ATOMIC_POSITIONS angstrom
Ce 0.000 0.000 0.000
Hf 0.000 0.000 17.416
As 0.000 0.000 4.995
As 0.000 0.000 8.900
```


Compound: Ce5Hf3As8
Source: the Alexandria database
Functional: PBE
Structure: optimized geometry Values from VASP.

Quantum ESPRESSO input file:
```
&SYSTEM
  ibrav = 0, nat = 16, ntyp = 3
/
ATOMIC_SPECIES
Ce 140.12 Ce.upf
Hf 178.49 Hf.upf
As 74.92 As.upf
CELL_PARAMETERS angstrom
4.053 2.340 6.647
-4.053 2.340 6.647
0.000 -4.680 6.647
ATOMIC_POSITIONS angstrom
Ce 0.000 0.000 0.000
Ce -2.026 -1.170 6.647
Ce -2.026 1.170 13.293
Ce 0.000 2.340 6.647
Ce 0.000 0.000 9.970
Hf -4.053 0.000 9.970
Hf -2.026 1.170 3.323
Hf 2.026 1.170 3.323
As -2.098 -1.211 11.514
As 0.000 0.000 4.830
As 0.000 -2.422 8.426
As -2.098 1.211 8.426
As 2.098 -1.211 11.514
As 0.000 2.422 11.514
As 0.000 0.000 15.110
As 2.098 1.211 8.426
```


Computed values of M_tot (unit: μB per atom) for the preceding records, in sequence: 0.11; 0.23; 0.17.
Computed values of energy relative to the elements (unit: eV/atom) for the preceding records, in sequence: -1.059; -1.140; -1.266.
Computed values of total energy (unit: eV per atom) for the preceding records, in sequence: -7.858; -7.437; -7.312.